# Al5As3S3 PBE relaxed
# volume	23.5	A^3/atom
# formation energy from raw total energies	-723	meV/atom
data_Al5As3S3
_chemical_formula_sum 'Al5 As3 S3'
_space_group_name_H-M_alt 'P m m 2'
_space_group_IT_number 25
_cell_length_a 3.908
_cell_length_b 11.721
_cell_length_c 5.647
_cell_angle_alpha 90.00
_cell_angle_beta 90.00
_cell_angle_gamma 90.00
loop_
_space_group_symop_operation_xyz
'x,y,z'
'-x,-y,z'
'-x,y,z'
'x,-y,z'
loop_
_atom_site_label
_atom_site_fract_x
_atom_site_fract_y
_atom_site_fract_z
Al1 0.000 0.000 0.000
Al2 0.000 0.346 0.034
Al3 0.500 0.176 0.505
As1 0.000 0.178 0.765
As2 0.500 0.000 0.263
S1 0.000 0.500 0.813
S2 0.500 0.336 0.271



# SiRh2 PBE relaxed
# volume	15.0	A^3/atom
# formation energy from raw total energies	-419	meV/atom
data_SiRh2
_chemical_formula_sum 'Si1 Rh2'
_space_group_name_H-M_alt 'P 4/m m m'
_space_group_IT_number 123
_space_group_name_Hall '-P 4 2'
_cell_length_a 3.987
_cell_length_b 3.987
_cell_length_c 2.834
_cell_angle_alpha 90.00
_cell_angle_beta 90.00
_cell_angle_gamma 90.00
loop_
_atom_site_label
_atom_site_fract_x
_atom_site_fract_y
_atom_site_fract_z
Si1 0.000 0.000 0.000
Rh1 0.000 0.500 0.500



# Ba2LiIn6Au PBE relaxed
# volume	30.8	A^3/atom
# uncorrected energy	-2.86	eV per atom
data_Ba2LiIn6Au
_chemical_formula_sum 'Ba2 Li1 In6 Au1'
_space_group_name_H-M_alt 'P -1'
_space_group_IT_number 2
_cell_length_a 6.185
_cell_length_b 7.572
_cell_length_c 7.836
_cell_angle_alpha 82.23
_cell_angle_beta 66.91
_cell_angle_gamma 65.97
loop_
_space_group_symop_operation_xyz
'x,y,z'
'-x,-y,-z'
loop_
_atom_site_label
_atom_site_fract_x
_atom_site_fract_y
_atom_site_fract_z
Ba1 0.038 0.209 0.216
Li1 0.500 0.500 0.000
In1 0.000 0.256 0.751
In2 0.347 0.403 0.404
In3 0.493 0.255 0.752
Au1 0.500 0.000 0.500



# CsLaUS4 PBE relaxed
# volume	33.8	A^3/atom
# formation energy from raw total energies	-1611	meV/atom
data_CsLaUS4
_chemical_formula_sum 'Cs4 La4 U4 S16'
_space_group_name_H-M_alt 'I m m a'
_space_group_IT_number 74
_space_group_name_Hall '-I 2b 2'
_cell_length_a 8.450
_cell_length_b 9.085
_cell_length_c 12.325
_cell_angle_alpha 90.00
_cell_angle_beta 90.00
_cell_angle_gamma 90.00
loop_
_atom_site_label
_atom_site_fract_x
_atom_site_fract_y
_atom_site_fract_z
Cs1 0.000 0.250 0.138
La1 0.000 0.000 0.500
U1 0.250 0.250 0.750
S1 0.000 0.059 0.734
S2 0.213 0.250 0.532



# LaNb2O PBE relaxed
# volume	23.6	A^3/atom
# formation energy from raw total energies	-487	meV/atom
data_LaNb2O
_chemical_formula_sum 'La4 Nb8 O4'
_space_group_name_H-M_alt 'I -4 2 d'
_space_group_IT_number 122
_space_group_name_Hall 'I -4 2bw'
_cell_length_a 6.470
_cell_length_b 6.470
_cell_length_c 9.016
_cell_angle_alpha 90.00
_cell_angle_beta 90.00
_cell_angle_gamma 90.00
loop_
_atom_site_label
_atom_site_fract_x
_atom_site_fract_y
_atom_site_fract_z
La1 0.000 0.000 0.000
Nb1 0.035 0.750 0.625
O1 0.000 0.000 0.500



# Li4DyHg2 PBE relaxed
# volume	19.9	A^3/atom
# uncorrected energy	-2.00	eV per atom
data_Li4DyHg2
_chemical_formula_sum 'Li8 Dy2 Hg4'
_space_group_name_H-M_alt 'I 4/m m m'
_space_group_IT_number 139
_space_group_name_Hall '-I 4 2'
_cell_length_a 3.695
_cell_length_b 3.695
_cell_length_c 20.390
_cell_angle_alpha 90.00
_cell_angle_beta 90.00
_cell_angle_gamma 90.00
loop_
_atom_site_label
_atom_site_fract_x
_atom_site_fract_y
_atom_site_fract_z
Li1 0.000 0.000 0.148
Li2 0.000 0.500 0.250
Dy1 0.000 0.000 0.000
Hg1 0.000 0.000 0.401



# KCa2C PBE relaxed
# volume	41.6	A^3/atom
# uncorrected energy	-3.10	eV per atom
data_KCa2C
_chemical_formula_sum 'K4 Ca8 C4'
_space_group_name_H-M_alt 'I -4 2 d'
_space_group_IT_number 122
_space_group_name_Hall 'I -4 2bw'
_cell_length_a 7.768
_cell_length_b 7.768
_cell_length_c 11.020
_cell_angle_alpha 90.00
_cell_angle_beta 90.00
_cell_angle_gamma 90.00
loop_
_atom_site_label
_atom_site_fract_x
_atom_site_fract_y
_atom_site_fract_z
K1 0.000 0.000 0.000
Ca1 0.002 0.250 0.625
C1 0.000 0.000 0.500



# AgN2F3 PBE relaxed
# volume	20.2	A^3/atom
# formation energy from raw total energies	-569	meV/atom
data_AgN2F3
_chemical_formula_sum 'Ag4 N8 F12'
_space_group_name_H-M_alt 'C 1 2/c 1'
_space_group_IT_number 15
_cell_length_a 8.025
_cell_length_b 4.023
_cell_length_c 15.160
_cell_angle_alpha 90.00
_cell_angle_beta 98.00
_cell_angle_gamma 90.00
loop_
_space_group_symop_operation_xyz
'x,y,z'
'-x,-y,-z'
'-x,y,-z+1/2'
'x,-y,z+1/2'
'x+1/2,y+1/2,z'
'-x+1/2,-y+1/2,-z'
'-x+1/2,y+1/2,-z+1/2'
'x+1/2,-y+1/2,z+1/2'
loop_
_atom_site_label
_atom_site_fract_x
_atom_site_fract_y
_atom_site_fract_z
Ag1 0.000 0.065 0.250
N1 0.002 0.404 0.974
F1 0.000 0.435 0.750
F2 0.205 0.067 0.333



# CrNiMo PBE relaxed
# volume	12.9	A^3/atom
# offset from the most stable computed form	82	meV/atom
data_CrNiMo
_chemical_formula_sum 'Cr1 Ni1 Mo1'
_space_group_name_H-M_alt 'P 3 m 1'
_space_group_IT_number 156
_cell_length_a 4.2278
_cell_length_b 4.2278
_cell_length_c 2.5090
_cell_angle_alpha 90.00
_cell_angle_beta 90.00
_cell_angle_gamma 120.00
loop_
_space_group_symop_operation_xyz
'x,y,z'
'-y,x-y,z'
'-x+y,-x,z'
'-y,-x,z'
'-x+y,y,z'
'x,x-y,z'
loop_
_atom_site_label
_atom_site_fract_x
_atom_site_fract_y
_atom_site_fract_z
Cr1 0.0000 0.0000 0.0000
Ni1 0.3333 0.6667 0.8507
Mo1 0.6667 0.3333 0.3814



# CaBi2Au9 PBE relaxed
# volume	21.7	A^3/atom
# uncorrected energy	-3.49	eV per atom
data_CaBi2Au9
_chemical_formula_sum 'Ca2 Bi4 Au18'
_space_group_name_H-M_alt 'P 63/m m c'
_space_group_IT_number 194
_space_group_name_Hall '-P 6c 2c'
_cell_length_a 5.6163
_cell_length_b 5.6163
_cell_length_c 19.0282
_cell_angle_alpha 90.00
_cell_angle_beta 90.00
_cell_angle_gamma 120.00
loop_
_atom_site_label
_atom_site_fract_x
_atom_site_fract_y
_atom_site_fract_z
Ca1 0.3333 0.6667 0.2500
Bi1 0.3333 0.6667 0.0325
Au1 0.0000 0.0000 0.0000
Au2 0.0000 0.0000 0.2500
Au3 0.1677 0.3354 0.6260
Au4 0.3333 0.6667 0.7500



# Y5Ir2Pt2 PBE relaxed
# volume	23.2	A^3/atom
# uncorrected energy	-7.87	eV per atom
data_Y5Ir2Pt2
_chemical_formula_sum 'Y20 Ir8 Pt8'
_space_group_name_H-M_alt 'C m c e'
_space_group_IT_number 64
_space_group_name_Hall '-C 2ac 2'
_cell_length_a 14.857
_cell_length_b 7.473
_cell_length_c 7.529
_cell_angle_alpha 90.00
_cell_angle_beta 90.00
_cell_angle_gamma 90.00
loop_
_atom_site_label
_atom_site_fract_x
_atom_site_fract_y
_atom_site_fract_z
Y1 0.000 0.000 0.000
Y2 0.136 0.175 0.329
Ir1 0.000 0.127 0.626
Pt1 0.204 0.000 0.000



# Ac2TbPuSe6 PBE relaxed
# volume	33.0	A^3/atom
# formation energy from raw total energies	-1785	meV/atom
data_Ac2TbPuSe6
_chemical_formula_sum 'Ac6 Tb3 Pu3 Se18'
_space_group_name_H-M_alt 'R 3'
_space_group_IT_number 146
_space_group_name_Hall 'R 3'
_cell_length_a 7.6052
_cell_length_b 7.6052
_cell_length_c 19.7793
_cell_angle_alpha 90.00
_cell_angle_beta 90.00
_cell_angle_gamma 120.00
loop_
_atom_site_label
_atom_site_fract_x
_atom_site_fract_y
_atom_site_fract_z
Ac1 0.0000 0.0000 0.0000
Ac2 0.0000 0.0000 0.4997
Tb1 0.0000 0.0000 0.2082
Pu1 0.0000 0.0000 0.7077
Se1 0.0586 0.3522 0.2792
Se2 0.0608 0.7052 0.7805